(1)
4
Lattice="4.566 0.000 0.000 2.283 3.954 0.000 2.283 1.318 3.728" Properties=species:S:1:pos:R:3 comment="PBE NpTiTc2, relaxed" dft_energy_ev_per_cell=-42.1 volume_a3_per_cell=67.3 formation_energy_ev_per_atom=-0.1445 spacegroup=Fm-3m pbc="T T T"
Np 0.000 0.000 0.000
Tc 2.283 1.318 0.932
Tc 6.849 3.954 2.796
Ti 4.566 2.636 1.864



(2)
4
Lattice="4.840 0.060 0.000 1.698 4.533 0.000 -3.269 -2.296 2.734" Properties=species:S:1:pos:R:3 comment="PBE BeZn2As, relaxed" dft_energy_ev_per_cell=-9.7 volume_a3_per_cell=59.7 formation_energy_ev_per_atom=0.3171 spacegroup=I-4m2 pbc="T T T"
Be 2.420 0.030 1.367
As 3.269 2.296 0.000
Zn 0.000 0.000 0.000
Zn 0.849 2.267 1.367



(3)
4
Lattice="-3.237 -2.099 1.787 -1.217 -3.761 -1.564 4.129 -6.014 5.474" Properties=species:S:1:pos:R:3 comment="PBE LiAc2Ni, relaxed" dft_energy_ev_per_cell=-16.1 volume_a3_per_cell=137.5 formation_energy_ev_per_atom=-0.0353 spacegroup=R3m pbc="T T T"
Li -0.168 -5.933 2.843
Ac 3.101 -5.270 4.485
Ac -0.457 -2.696 1.062
Ni -2.962 -3.912 0.156



(4)
5
Lattice="4.636 0.000 0.000 0.000 5.111 0.000 0.000 0.000 4.636" Properties=species:S:1:pos:R:3 comment="PBE AlTlNi2Rh, relaxed" dft_energy_ev_per_cell=-20.3 volume_a3_per_cell=109.8 formation_energy_ev_per_atom=0.9492 spacegroup=P4/mmm pbc="T T T"
Ni 0.000 0.000 2.318
Ni 2.318 0.000 0.000
Tl 0.000 2.556 0.000
Rh 0.000 0.000 0.000
Al 2.318 2.556 2.318



(5)
16
Lattice="-4.205 4.686 0.670 -4.201 -0.442 6.648 6.650 9.341 6.332" Properties=species:S:1:pos:R:3 comment="PBE Cs2ZrAlS4, relaxed" dft_energy_ev_per_cell=-81.2 volume_a3_per_cell=580.4 spacegroup=Fddd pbc="T T T"
Cs 3.560 6.871 4.215
Cs -1.115 7.156 2.787
Cs 1.161 10.435 9.109
Cs -5.019 5.493 4.875
Zr -1.929 7.964 6.992
Zr 0.000 0.000 0.000
Al 0.173 5.621 6.657
Al -2.103 2.343 0.335
S -4.119 1.986 6.282
S 4.305 9.435 7.058
S -1.092 12.147 11.771
S -2.606 3.602 2.187
S -2.011 5.536 7.358
S 0.416 7.870 6.266
S -2.593 9.402 8.870
S 0.677 4.362 4.805



(6)
8
Lattice="-1.280 -2.676 -5.446 5.967 -1.567 -0.632 0.674 -10.248 1.347" Properties=species:S:1:pos:R:3 comment="PBE RbTl2Ga, relaxed" dft_energy_ev_per_cell=-16.5 volume_a3_per_cell=360.9 formation_energy_ev_per_atom=0.1155 spacegroup=I-42d pbc="T T T"
Tl 0.432 -3.766 -1.793
Tl 3.420 -4.541 -2.092
Tl 3.745 -9.666 -1.426
Tl 3.124 -11.009 -4.151
Ga 2.343 -2.122 -3.039
Ga 4.492 -6.968 -1.162
Rb 0.000 0.000 0.000
Rb 0.868 -7.523 -3.569



(7)
5
Lattice="-0.299 -0.572 -4.789 3.017 -3.766 0.262 -3.763 -2.974 0.590" Properties=species:S:1:pos:R:3 comment="PBE LaCdCu3, relaxed" dft_energy_ev_per_cell=-16.6 volume_a3_per_cell=112.8 formation_energy_ev_per_atom=0.3101 spacegroup=Pm-3m pbc="T T T"
Cd 0.000 0.000 0.000
Cu 1.508 -1.883 0.131
Cu -1.881 -1.487 0.295
Cu -0.150 -0.286 -2.394
La -0.523 -3.656 -1.968



(8)
20
Lattice="9.201 -2.019 -2.096 0.929 8.669 -2.057 0.929 -2.377 8.587" Properties=species:S:1:pos:R:3 comment="PBE AcSm2Y6Er, relaxed" dft_energy_ev_per_cell=-111.3 volume_a3_per_cell=681.4 formation_energy_ev_per_atom=0.1244 spacegroup=C2/c pbc="T T T"
Ac 3.229 7.867 -2.295
Ac 7.830 -3.594 6.729
Sm 5.525 4.391 3.316
Sm 0.934 2.132 0.972
Sm 5.535 -0.118 1.119
Sm 10.125 2.141 3.463
Y 1.352 -0.768 6.044
Y 5.107 -0.785 6.026
Y 9.708 5.041 -1.609
Y 5.952 5.059 -1.591
Y 4.235 6.863 1.088
Y 2.224 4.450 -1.416
Y 6.824 -2.590 3.347
Y 8.835 -0.177 5.851
Y 2.170 4.755 2.533
Y 4.289 2.928 0.636
Y 8.889 -0.482 1.901
Y 6.770 1.346 3.798
Er 3.229 1.663 3.684
Er 7.830 2.610 0.751